1.
VASP calculation (GGA-PBE) on an optimized crystal structure of CdBiN3.

Summary:
space-group type: Pm-3m (221)
E: -20.14 eV/cell

a b c (Å): 4.324 4.324 4.324
angles (deg): 90.00 90.00 90.00
Element x y z (fractional)
1 Cd 0.000 0.000 0.000
2 Bi 0.500 0.500 0.500
3 N 0.000 0.500 0.500
4 N 0.500 0.000 0.500
5 N 0.500 0.500 0.000

---

2.
VASP calculation (GGA-PBE) on an optimized crystal structure of La2SmDy3Bi6.

Summary:
space-group type: C2/m (12)
formation enthalpy at 0 K: -932 meV/atom

a b c (Å): 10.206 10.206 9.128
angles (deg): 102.76 102.76 25.90
Element x y z (fractional)
1 La 0.166 0.166 0.332
2 La 0.834 0.834 0.668
3 Sm 0.500 0.500 0.000
4 Dy 0.167 0.167 0.834
5 Dy 0.500 0.500 0.500
6 Dy 0.833 0.833 0.166
7 Bi 0.004 0.004 0.748
8 Bi 0.333 0.333 0.925
9 Bi 0.336 0.336 0.410
10 Bi 0.664 0.664 0.590
11 Bi 0.667 0.667 0.075
12 Bi 0.996 0.996 0.252

---

3.
VASP calculation (GGA-PBE) on an optimized crystal structure of RbAg4Te2.

Summary:
space-group type: R-3m (166)
E: -20.21 eV/cell

a b c (Å): 10.233 10.233 10.233
angles (deg): 26.77 26.77 26.77
Element x y z (fractional)
1 Rb 0.000 0.000 0.000
2 Ag 0.154 0.154 0.154
3 Ag 0.450 0.450 0.450
4 Ag 0.550 0.550 0.550
5 Ag 0.846 0.846 0.846
6 Te 0.251 0.251 0.251
7 Te 0.749 0.749 0.749

---

4.
VASP calculation (GGA-PBE) on an optimized crystal structure of MnAlCrRu.

Summary:
space-group type: F-43m (216)
formation enthalpy at 0 K: -226 meV/atom

a b c (Å): 4.158 4.158 4.158
angles (deg): 60.00 60.00 60.00
Element x y z (fractional)
1 Mn 0.000 0.000 0.000
2 Al 0.750 0.750 0.750
3 Cr 0.250 0.250 0.250
4 Ru 0.500 0.500 0.500